Entry 1:
A relaxed structure of ZrBF2. Source: the Alexandria database, functional PBE.

## Properties
SG: I-42d (122)
D(E_F) (states/eV per cell): 5.9
ΔE to the lowest computed polymorph (kJ/mol of formula units): 0.0

```
8
Lattice="-1.797 1.797 7.623 1.797 -1.797 7.623 1.797 1.797 -7.623" Properties=species:S:1:pos:R:3 pbc="T T T"
Zr 0.000 0.000 0.000
Zr 0.000 1.797 3.812
B 1.797 0.000 3.812
B 0.000 0.000 7.623
F 2.695 0.781 -1.906
F 0.781 0.898 1.906
F -0.898 1.016 5.718
F 1.016 0.898 9.529
```

***

Entry 2:
A relaxed structure of NdZrCu2. Source: the Alexandria database, functional PBE.

## Properties
E_form (eV/atom): -0.01
SG: Fm-3m (225)
D(E_F) (states/eV per cell): 4.0
ΔE to the lowest computed polymorph (kJ/mol of formula units): 33.4

```
4
Lattice="0.000 3.435 3.435 3.435 0.000 3.435 3.435 3.435 0.000" Properties=species:S:1:pos:R:3 pbc="T T T"
Nd 0.000 0.000 0.000
Zr 3.435 3.435 3.435
Cu 1.718 1.718 1.718
Cu 5.153 5.153 5.153
```

***

Entry 3:
A relaxed structure of GeTe3Au. Source: the Alexandria database, functional PBE.

## Properties
SG: Ima2 (46)
D(E_F) (states/eV per cell): 4.9
ΔE to the lowest computed polymorph (kJ/mol of formula units): 43.6

```
10
Lattice="-6.862 3.364 3.379 6.862 -3.364 3.379 6.862 3.364 -3.379" Properties=species:S:1:pos:R:3 pbc="T T T"
Ge 3.431 0.980 0.000
Ge 3.431 2.385 3.379
Te 0.429 1.309 0.092
Te 6.434 1.309 0.092
Te 3.431 -0.883 4.861
Te 0.429 2.055 3.471
Te 6.434 2.055 3.471
Te 3.431 4.248 1.482
Au 3.431 3.271 -1.035
Au 3.431 0.093 2.343
```

***

Entry 4:
A relaxed structure of Ce2Al2CoSi4. Source: the Alexandria database, functional PBE.

## Properties
Total energy (eV per atom): -5.875
SG: I4/mmm (139)
D(E_F) (states/eV per cell): 10.9

```
9
Lattice="-3.030 3.030 4.219 3.030 -3.030 4.219 3.030 3.030 -4.219" Properties=species:S:1:pos:R:3 pbc="T T T"
Ce 3.030 0.000 2.110
Ce 0.000 3.030 2.110
Al 0.000 0.000 1.805
Al 0.000 0.000 6.634
Co 0.000 0.000 4.219
Si 1.368 1.368 0.000
Si 1.662 -1.662 4.219
Si -1.662 1.662 4.219
Si 1.662 1.662 4.219
```

***

Entry 5:
A relaxed structure of InCu2Sb. Source: the Alexandria database, functional PBE.

## Properties
Total energy (eV per atom): -3.580
SG: Pmm2 (25)
D(E_F) (states/eV per cell): 1.8

```
4
Lattice="3.807 0.000 0.000 0.000 3.887 0.000 0.000 0.000 5.245" Properties=species:S:1:pos:R:3 pbc="T T T"
In 0.000 0.000 0.000
Cu 0.000 0.000 2.589
Cu 1.903 1.944 0.931
Sb 1.903 1.944 3.503
```

***

Entry 6:
A relaxed structure of Ca2TmPuTe4. Source: the Alexandria database, functional PBE.

## Properties
Total energy (eV per atom): -5.790
SG: P2/m (10)
D(E_F) (states/eV per cell): 14.6

```
8
Lattice="7.660 0.000 0.000 0.000 4.416 0.000 -2.547 0.000 7.317" Properties=species:S:1:pos:R:3 pbc="T T T"
Ca 0.000 0.000 0.000
Ca 3.830 2.208 0.000
Tm -1.274 2.208 3.659
Pu 2.557 0.000 3.659
Te -0.046 0.000 5.438
Te 1.232 2.208 1.852
Te 3.881 2.208 5.465
Te 5.159 0.000 1.879
```

***

Entry 7:
A relaxed structure of YMg2Cd. Source: the Alexandria database, functional PBE.

## Properties
E_form (eV/atom): -0.09
SG: Cm (8)
D(E_F) (states/eV per cell): 2.5

```
4
Lattice="5.397 -1.685 0.000 5.397 1.685 0.000 -1.360 0.000 5.523" Properties=species:S:1:pos:R:3 pbc="T T T"
Y 0.000 0.000 0.000
Mg 1.575 0.000 3.882
Mg 4.552 0.000 2.736
Cd 7.823 0.000 1.297
```

***

Entry 8:
A relaxed structure of MgCd2Ni2. Source: the Alexandria database, functional PBE.

## Properties
E_form (eV/atom): 0.20
SG: I4/mmm (139)
D(E_F) (states/eV per cell): 4.6
ΔE to the lowest computed polymorph (kJ/mol of formula units): 109.3

```
5
Lattice="-1.782 1.782 7.028 1.782 -1.782 7.028 1.782 1.782 -7.028" Properties=species:S:1:pos:R:3 pbc="T T T"
Mg 0.000 0.000 0.000
Cd 0.000 0.000 5.467
Cd 0.000 0.000 8.589
Ni 1.782 0.000 3.514
Ni 0.000 1.782 3.514
```

***

Entry 9:
A relaxed structure of RbAsAu. Source: the Alexandria database, functional PBE.

## Properties
E_form (eV/atom): -0.19
SG: P1 (1)
D(E_F) (states/eV per cell): 2.4
ΔE to the lowest computed polymorph (kJ/mol of formula units): 70.0

```
6
Lattice="4.641 0.000 0.000 -2.317 4.025 0.000 -0.037 -2.641 10.881" Properties=species:S:1:pos:R:3 pbc="T T T"
Rb 0.000 0.000 0.000
Rb -0.003 0.004 5.183
As 0.000 2.687 2.664
As 2.319 1.345 2.664
Au -0.034 0.041 8.448
Au 2.287 -1.303 8.309
```

***

Entry 10:
A relaxed structure of Zn2CdGa2Pd2. Source: the Alexandria database, functional PBE.

## Properties
E_form (eV/atom): -0.31
SG: C2/m (12)
D(E_F) (states/eV per cell): 1.3

```
7
Lattice="3.822 -2.202 0.000 3.822 2.202 0.000 -2.536 0.000 6.862" Properties=species:S:1:pos:R:3 pbc="T T T"
Zn 0.004 0.000 2.830
Zn 5.104 0.000 4.032
Cd 0.000 0.000 0.000
Ga 2.552 0.000 1.601
Ga 2.556 0.000 5.261
Pd 0.009 0.000 5.406
Pd 5.099 0.000 1.456
```

***

Entry 11:
A relaxed structure of Nd5Sn4H. Source: the Alexandria database, functional PBE.

## Properties
Total energy (eV per atom): -4.815
SG: I4 (79)
D(E_F) (states/eV per cell): 6.5

```
10
Lattice="-4.929 4.929 3.178 4.929 -4.929 3.178 4.929 4.929 -3.178" Properties=species:S:1:pos:R:3 pbc="T T T"
Nd 0.000 0.000 0.000
Nd 5.889 2.105 0.317
Nd 2.105 3.969 0.317
Nd 2.824 0.960 3.496
Nd -0.960 2.824 3.496
Sn 2.965 0.924 0.331
Sn 4.005 -1.964 3.509
Sn 0.924 6.893 0.331
Sn 1.964 4.005 3.509
H 0.000 0.000 3.905
```

***

Entry 12:
A relaxed structure of Pr3Nd5Tl. Source: the Alexandria database, functional PBE.

## Properties
E_form (eV/atom): 0.23
SG: C2/m (12)
D(E_F) (states/eV per cell): 29.4

```
18
Lattice="5.130 -4.155 0.000 5.130 4.155 0.000 -3.022 0.000 15.547" Properties=species:S:1:pos:R:3 pbc="T T T"
Pr 0.000 0.000 0.000
Pr -1.511 0.000 7.774
Pr -0.991 0.000 13.278
Pr 1.993 0.000 8.372
Pr 5.245 0.000 7.175
Pr 8.229 0.000 2.269
Nd 2.532 1.902 5.252
Nd 2.048 0.000 2.230
Nd 5.130 1.422 0.000
Nd 4.706 1.902 10.295
Nd 2.072 0.000 12.068
Nd 5.166 0.000 3.479
Nd 2.532 -1.902 5.252
Nd 5.130 -1.422 0.000
Nd 5.190 0.000 13.317
Nd 4.706 -1.902 10.295
Tl -0.025 0.000 4.902
Tl 7.263 0.000 10.645
```

***

Entry 13:
A relaxed structure of YHRh2. Source: the Alexandria database, functional PBE.

## Properties
SG: R-3m (166)
D(E_F) (states/eV per cell): 6.0
ΔE to the lowest computed polymorph (kJ/mol of formula units): 33.7

```
4
Lattice="1.497 0.864 7.494 -1.497 0.864 7.494 0.000 -1.728 7.494" Properties=species:S:1:pos:R:3 pbc="T T T"
Y 0.000 0.000 0.000
H 0.000 0.000 11.241
Rh 0.000 0.000 2.617
Rh 0.000 0.000 19.866
```